## DyHoAl2 (PBE)

Data for a relaxed structure of DyHoAl2.

The structure in POSCAR format:
```
DyHoAl2
1.0
5.038 0.000 0.000
0.000 3.330 5.621
0.000 -3.330 5.621
Ho Al Dy
2 4 2
direct
0.500 0.848 0.313
0.500 0.313 0.848
0.500 0.835 0.835
0.000 0.131 0.708
0.000 0.162 0.162
0.000 0.708 0.131
0.000 0.664 0.664
0.500 0.339 0.339
```

## Properties
Space group: Amm2, No. 38
Energy above the most stable polymorph in this dataset: 0.1960 eV/atom

## Dy2TmGa3AgPt2 (PBE)

Data for a relaxed structure of Dy2TmGa3AgPt2.

The structure in POSCAR format:
```
Dy2TmGa3AgPt2
1.0
-2.722 2.330 0.945
0.173 -2.641 7.014
4.321 5.821 -1.907
Pt Dy Tm Ag Ga
2 2 1 1 3
direct
0.500 0.334 0.664
0.500 0.664 0.334
0.000 0.592 0.000
0.000 0.000 0.592
0.000 0.408 0.408
0.000 0.001 0.001
0.500 0.728 0.728
0.500 0.271 0.001
0.500 0.001 0.271
```

## Properties
Space group: Amm2, No. 38

Number 1: total magnetic moment 0.0 μB per cell, calculated volume 188.6 Å³/cell, electronic total energy -4.364 eV/atom. Number 2: total magnetic moment 0.0 μB per cell, calculated volume 180.6 Å³/cell, electronic total energy -5.084 eV/atom.